# 1
Here is Pm2Zn4GaAu3 after structural relaxation from Alexandria. Energies are from GGA-PBE.

Cell lengths 4.2072, 4.2072, 11.3934 Å; angles 90.00, 90.00, 90.00 degrees
Element x y z (fractional)
Ga 0.5000 0.5000 0.5000
Pm 0.0000 0.5000 0.7443
Pm 0.5000 0.0000 0.2557
Au 0.0000 0.0000 0.5000
Au 0.0000 0.5000 0.1423
Au 0.5000 0.0000 0.8577
Zn 0.5000 0.5000 0.0000
Zn 0.5000 0.0000 0.6350
Zn 0.0000 0.5000 0.3650
Zn 0.0000 0.0000 0.0000

Properties
Energy = -3.258 eV per atom

---

# 2
Here is Pm4HoTm2 after structural relaxation from Alexandria. Energies are from GGA-PBE.

Cell lengths 12.4747, 12.4747, 6.7616 Å; angles 97.03, 97.03, 150.15 degrees
Element x y z (fractional)
Pm 0.6009 0.5634 0.6406
Pm 0.1732 0.7106 0.3601
Pm 0.1505 0.0412 0.1058
Pm 0.1854 0.7947 0.8946
Pm 0.7106 0.1732 0.8601
Pm 0.5635 0.6009 0.1406
Pm 0.0412 0.1505 0.6058
Pm 0.7947 0.1854 0.3946
Ho 0.6735 0.4235 0.0001
Ho 0.4235 0.6735 0.5001
Tm 0.1021 0.9202 0.5503
Tm 0.3020 0.6201 0.9500
Tm 0.6201 0.3020 0.4500
Tm 0.9202 0.1021 0.0503

Properties
E above lowest polymorph = 0.000 eV/atom

---

# 3
Here is TcHgBr6 after structural relaxation from Alexandria. Energies are from GGA-PBE.

Cell lengths 7.7864, 6.9623, 7.0348 Å; angles 100.83, 106.20, 123.69 degrees
Site moments in Bohr magnetons follow the coordinates.
Element x y z (fractional)
Br 0.8763 0.1432 0.2967  0.02
Br 0.7183 0.4290 0.0000  0.07
Br 0.5796 0.8465 0.7033  0.02
Br 0.2817 0.5710 0.0000  0.07
Br 0.4204 0.1535 0.2967  0.02
Br 0.1237 0.8568 0.7033  0.02
Tc 0.5000 0.0000 0.0000  2.03
Hg 0.0000 0.0000 0.0000  0.01

Properties
Uncorrected formation energy = -343 meV/atom

---

# 4
Here is NbSBrCl2 after structural relaxation from Alexandria. Energies are from GGA-PBE.

Cell lengths 4.9863, 4.9863, 5.3389 Å; angles 90.00, 90.00, 90.00 degrees
Site moments in Bohr magnetons follow the coordinates.
Element x y z (fractional)
Cl 0.0000 0.5000 0.0000  0.00
Cl 0.5000 0.0000 0.0000  0.00
S 0.0000 0.0000 0.5000  -0.21
Nb 0.5000 0.5000 0.5000  2.76
Br 0.0000 0.0000 0.0000  -0.05

Properties
Uncorrected formation energy = 1023 meV/atom
E above lowest polymorph = 1.501 eV/atom